1.
A plane-wave DFT calculation with PBE was carried out for crystalline Re2TeSe at its relaxed geometry.

The energy above the most stable polymorph in this dataset is 819 meV/atom. The value obtained for the total magnetization is 0.000 μB/atom. The crystal system is tetragonal. The uncorrected formation energy comes out at 1044 meV per atom. Its theoretical density is 13.68 g/cm³.

The structure belongs to space group I-4m2 (No. 119); the cell edges are 4.239, 4.239 and 7.821 Å and the angles 90.00°, 90.00° and 90.00°. The asymmetric unit holds Re at (0.000, 0.000, 0.000), Re at (0.000, 0.500, 0.250), Te at (0.000, 0.000, 0.500) and Se at (0.000, 0.500, 0.750).

=====

2.
A plane-wave DFT calculation with PBE was carried out for crystalline NaEuHo2 at its relaxed geometry.

The value obtained for the total magnetization is 2.046 μB/atom. The crystal system is trigonal. The calculation puts the formation energy at 259 meV/atom. Its theoretical density is 5.99 g/cm³.

The structure belongs to space group R-3m (No. 166, hexagonal axes); the cell edges are 3.5335, 3.5335 and 38.8421 Å and the angles 90.00°, 90.00° and 120.00°. The asymmetric unit holds Na at (0.0000, 0.0000, 0.0000), Eu at (0.0000, 0.0000, 0.5000) and Ho at (0.0000, 0.0000, 0.0895).

=====

3.
A plane-wave DFT calculation with PBE was carried out for crystalline NaAc2NdS4 at its relaxed geometry.

The value obtained for the total magnetization is 0.000 μB/atom. The crystal system is monoclinic. The uncorrected formation energy comes out at -1896 meV per atom. Its theoretical density is 5.92 g/cm³.

The structure belongs to space group P2/m (No. 10); the cell edges are 7.174, 4.223 and 7.374 Å and the angles 90.00°, 109.69° and 90.00°. The asymmetric unit holds Na at (0.000, 0.000, 0.000), Ac at (0.500, 0.000, 0.500), Ac at (0.500, 0.500, 0.000), Nd at (0.000, 0.500, 0.500), S at (0.236, 0.000, 0.746) and S at (0.240, 0.500, 0.249).